CdOs4Br: optimized geometry, GGA-PBE.

Unit cell a=5.3106 b=5.3106 c=5.3106 alpha=60.00 beta=60.00 gamma=60.00
Fractional coordinates of all 6 atoms:
Cd: 0.0000 0.0000 0.0000
Os: 0.1248 0.6251 0.6251
Os: 0.6251 0.1248 0.6251
Os: 0.6251 0.6251 0.1248
Os: 0.6251 0.6251 0.6251
Br: 0.2500 0.2500 0.2500

**Symmetry**: No. 216
**Fermi-level density of states**: 9.6 states/eV/f.u.
**Calculated density**: 14.95 g cm⁻³
**Uncorrected energy**: -0.242 hartree per atom
**Crystal system**: cubic